No. 1
Material: Sr5Ca5Tl2
Method: DFT, GGA-PBE
State: relaxed

Unit cell a=9.6258 b=9.6258 c=12.0947 alpha=123.20 beta=123.20 gamma=33.92
With the nearest neighbours (Å) after each atom.
Positions (direct):
Sr1 0.0000 0.0000 0.0000  6 Ca 3.61-3.68, 4 Tl 3.65, 2 Sr 3.93
Sr2 0.1334 0.1334 0.8375  3 Tl 3.53-3.74, 1 Sr 3.93
Sr3 0.1647 0.1647 0.5046  8 Ca 3.85-4.25, 2 Sr 4.26
Sr4 0.8353 0.8353 0.4954  8 Ca 3.85-4.25, 2 Sr 4.26
Sr5 0.8666 0.8666 0.1625  3 Tl 3.53-3.74, 1 Sr 3.93
Ca1 0.2388 0.2388 0.2299  2 Tl 3.37, 1 Sr 3.61
Ca2 0.4379 0.4379 0.7650  2 Tl 3.32-3.34, 2 Sr 3.68
Ca3 0.5000 0.5000 0.5000  4 Ca 3.97-3.98, 8 Sr 4.11-4.37
Ca4 0.5621 0.5621 0.2350  2 Tl 3.32-3.34, 2 Sr 3.68
Ca5 0.7612 0.7612 0.7701  2 Tl 3.37, 1 Sr 3.61
Tl1 0.3579 0.3579 0.9508  4 Ca 3.32-3.37, 3 Sr 3.53-3.65
Tl2 0.6421 0.6421 0.0492  4 Ca 3.32-3.37, 3 Sr 3.53-3.65

Results
- E_tot (eV/atom) = -2.046
- formation energy (eV per atom) = -0.12


No. 2
Material: SrCa2Tl5
Method: DFT, GGA-PBE
State: relaxed

Unit cell a=8.6719 b=8.6719 c=8.6719 alpha=142.09 beta=142.09 gamma=54.69
With the nearest neighbours (Å) after each atom.
Positions (direct):
Sr1 0.0000 0.0000 0.0000  8 Tl 3.44
Ca1 0.2594 0.2594 0.0000  8 Tl 3.30-3.47
Ca2 0.7406 0.7406 0.0000  8 Tl 3.30-3.47
Tl1 0.1283 0.6283 0.5000  4 Ca 3.30-3.47, 2 Tl 3.44, 2 Sr 3.44
Tl2 0.3717 0.8717 0.5000  4 Ca 3.30-3.47, 2 Tl 3.44, 2 Sr 3.44
Tl3 0.5000 0.5000 0.0000  8 Tl 3.44, 2 Ca 3.71
Tl4 0.6283 0.1283 0.5000  4 Ca 3.30-3.47, 2 Tl 3.44, 2 Sr 3.44
Tl5 0.8717 0.3717 0.5000  4 Ca 3.30-3.47, 2 Tl 3.44, 2 Sr 3.44

Results
- E_tot (eV/atom) = -2.515
- formation energy (eV per atom) = -0.33


No. 3
Material: Sr4Ca3Tl
Method: DFT, GGA-PBE
State: relaxed

Unit cell a=4.0718 b=4.0718 c=21.6521 alpha=90.00 beta=90.00 gamma=90.00
With the nearest neighbours (Å) after each atom.
Positions (direct):
Sr1 0.0000 0.0000 0.0944  4 Tl 3.53
Sr2 0.0000 0.0000 0.3668  4 Sr 4.07, 8 Ca 4.08-4.09
Sr3 0.0000 0.0000 0.6332  4 Sr 4.07, 8 Ca 4.08-4.09
Sr4 0.0000 0.0000 0.9056  4 Tl 3.53
Ca1 0.5000 0.5000 0.2326  4 Ca 4.07, 8 Sr 4.09-4.15
Ca2 0.5000 0.5000 0.5000  4 Ca 4.07, 8 Sr 4.08
Ca3 0.5000 0.5000 0.7674  4 Ca 4.07, 8 Sr 4.09-4.15
Tl1 0.5000 0.5000 0.0000  8 Sr 3.53

Results
- E_tot (eV/atom) = -1.983
- formation energy (eV per atom) = -0.10


No. 4
Material: SrCa2Tl
Method: DFT, GGA-PBE
State: relaxed

Unit cell a=13.0251 b=13.0251 c=13.0251 alpha=157.88 beta=157.88 gamma=31.49
With the nearest neighbours (Å) after each atom.
Positions (direct):
Sr1 0.0000 0.0000 0.0000  4 Tl 3.53, 4 Ca 3.64
Sr2 0.7500 0.2500 0.5000  4 Tl 3.53, 4 Ca 3.64
Ca1 0.1462 0.6250 0.0212  4 Ca 3.39-3.69, 2 Tl 3.56, 2 Sr 3.64
Ca2 0.3750 0.3962 0.5212  4 Ca 3.39-3.69, 2 Tl 3.56, 2 Sr 3.64
Ca3 0.6038 0.1250 0.9788  4 Ca 3.39-3.69, 2 Tl 3.56, 2 Sr 3.64
Ca4 0.8750 0.8538 0.4788  4 Ca 3.39-3.69, 2 Tl 3.56, 2 Sr 3.64
Tl1 0.2500 0.7500 0.5000  4 Sr 3.53, 4 Ca 3.56
Tl2 0.5000 0.5000 0.0000  4 Sr 3.53, 4 Ca 3.56

Results
- E_tot (eV/atom) = -1.980
- formation energy (eV per atom) = 0.03